# 1
NbGaO4 | GGA-PBE | optimized geometry

Calculated values
space-group type: I4_1/amd
ρ: 5.626 Mg/m³
raw total energy: -7.622 eV per atom
size of the total moment: 0.001 μB/cell

Cell lengths 5.5805, 5.5805, 5.5805 Å; angles 109.26, 109.26, 109.89 degrees
Sites, in units of the cell vectors:
Nb1 0.3750 0.6250 0.7500
Nb2 0.6250 0.3750 0.2500
Ga1 0.1250 0.8750 0.2500
Ga2 0.8750 0.1250 0.7500
O1 0.1056 0.6669 0.4387
O2 0.2718 0.3331 0.9387
O3 0.3331 0.2718 0.4387
O4 0.3331 0.8944 0.0613
O5 0.6669 0.1056 0.9387
O6 0.6669 0.7282 0.5613
O7 0.7282 0.6669 0.0613
O8 0.8944 0.3331 0.5613

***

# 2
NaZrAu3S4 | GGA-PBE | optimized geometry

Calculated values
space-group type: P-43m
ρ: 6.169 Mg/m³
E above lowest polymorph: 0 meV/atom
size of the total moment: 0.001 μB/cell

Cell lengths 6.0762, 6.0762, 6.0762 Å; angles 90.00, 90.00, 90.00 degrees
Sites, in units of the cell vectors:
Na1 0.0000 0.0000 0.0000
Zr1 0.5000 0.5000 0.5000
Au1 0.0000 0.5000 0.5000
Au2 0.5000 0.0000 0.5000
Au3 0.5000 0.5000 0.0000
S1 0.2663 0.2663 0.2663
S2 0.2663 0.7337 0.7337
S3 0.7337 0.2663 0.7337
S4 0.7337 0.7337 0.2663

***

# 3
DyY2Mg3Pd2Pt | GGA-PBE | optimized geometry

Calculated values
space-group type: Amm2
ρ: 7.025 Mg/m³
raw total energy: -5.069 eV per atom
size of the total moment: 0.007 μB/cell

Cell lengths 4.1056, 7.3785, 7.3785 Å; angles 119.73, 90.00, 90.00 degrees
Sites, in units of the cell vectors:
Dy1 0.0000 0.0000 0.0000
Y1 0.0000 0.4074 0.8154
Y2 0.0000 0.8154 0.4074
Mg1 0.5000 0.1630 0.4080
Mg2 0.5000 0.4080 0.1630
Mg3 0.5000 0.6502 0.6502
Pd1 0.5000 0.0730 0.7431
Pd2 0.5000 0.7431 0.0730
Pt1 0.0000 0.4051 0.4051

***

# 4
Ba2Al2GaPt | GGA-PBE | optimized geometry

Calculated values
space-group type: P4mm
ρ: 5.970 Mg/m³
raw total energy: -4.003 eV per atom
size of the total moment: 0.002 μB/cell

Cell lengths 4.4653, 4.4653, 8.2784 Å; angles 90.00, 90.00, 90.00 degrees
Sites, in units of the cell vectors:
Ba1 0.0000 0.0000 0.0000
Ba2 0.5000 0.5000 0.3485
Al1 0.0000 0.5000 0.6698
Al2 0.5000 0.0000 0.6698
Ga1 0.5000 0.5000 0.8630
Pt1 0.0000 0.0000 0.5228

***

Question: size of the total moment of number 2 (NaZrAu3S4)?
Answer: 0.001 μB/cell

***

Please write out number 4 again, unchanged.
Ba2Al2GaPt | GGA-PBE | optimized geometry

Calculated values
space-group type: P4mm
ρ: 5.970 Mg/m³
raw total energy: -4.003 eV per atom
size of the total moment: 0.002 μB/cell

Cell lengths 4.4653, 4.4653, 8.2784 Å; angles 90.00, 90.00, 90.00 degrees
Sites, in units of the cell vectors:
Ba1 0.0000 0.0000 0.0000
Ba2 0.5000 0.5000 0.3485
Al1 0.0000 0.5000 0.6698
Al2 0.5000 0.0000 0.6698
Ga1 0.5000 0.5000 0.8630
Pt1 0.0000 0.0000 0.5228